## w
19
Lattice="-4.461 -4.397 -7.179 1.241 -6.273 7.063 -5.600 7.028 3.167" Properties=species:S:1:pos:R:3 comment="La12Nd6Sm | Alexandria | PBE-GGA | relaxed" mass_density_g_cm3=6.4 pbc="T T T"
La -6.027 -1.289 -2.515
La -3.746 0.086 -0.507
La -2.099 -3.115 0.430
La -6.446 -3.277 0.131
La -6.720 -0.527 2.621
La -5.073 -3.729 3.559
La -2.469 -5.594 2.631
La -4.733 1.420 4.461
La -2.792 -2.353 5.566
La -6.350 1.952 0.420
La -4.086 -5.062 -1.410
La -2.373 -0.365 2.921
Nd 0.164 -4.179 4.633
Nd -4.118 4.145 2.194
Nd -3.405 -3.005 -4.281
Nd -4.701 -7.788 0.857
Nd -8.983 0.537 -1.582
Nd -5.414 -0.637 7.332
Sm 0.000 0.000 0.000


## x
19
Lattice="-1.225 6.264 -6.156 -7.764 2.249 3.647 4.007 6.016 5.137" Properties=species:S:1:pos:R:3 comment="La12Nd6Sm | Alexandria | PBE-GGA | relaxed" mass_density_g_cm3=6.4 pbc="T T T"
La -3.385 8.697 -0.648
La -4.456 7.680 2.945
La -0.871 9.027 2.296
La -1.598 5.832 3.275
La -0.526 6.849 -0.318
La -4.112 5.502 0.331
La -0.066 2.728 2.442
La -2.015 12.398 2.394
La -5.162 11.064 3.798
La -4.917 11.802 0.185
La -2.968 2.132 0.233
La 0.179 3.465 -1.170
Nd -6.717 8.447 0.276
Nd -2.501 5.573 -2.866
Nd -4.521 3.765 3.303
Nd 1.734 6.082 2.351
Nd -2.482 8.956 5.493
Nd -0.461 10.765 -0.676
Sm 0.000 0.000 0.000


x is the most stable structure shown above.